Entry 1:
NiTe2Se2: optimized geometry, PBE.

Values from the calculation:
The value obtained for the offset from the most stable computed form is 0 meV/atom. Its formation energy (no corrections) is -0.08 eV per atom.

Cell lengths 5.463, 5.463, 6.700 Å; angles 95.11, 95.11, 42.28 degrees
Atoms (fractional coordinates):
Ni (0.000, 0.000, 0.000)
Te (0.392, 0.392, 0.787)
Te (0.608, 0.608, 0.213)
Se (0.143, 0.143, 0.734)
Se (0.857, 0.857, 0.266)

***

Entry 2:
Pa3In: optimized geometry, PBE.

Values from the calculation:
The value obtained for the offset from the most stable computed form is 214 meV/atom.

Cell lengths 5.206, 5.206, 5.206 Å; angles 60.00, 60.00, 60.00 degrees
Atoms (fractional coordinates):
Pa (0.000, 0.000, 0.000)
Pa (0.250, 0.250, 0.250)
Pa (0.750, 0.750, 0.750)
In (0.500, 0.500, 0.500)

***

Entry 3:
K2Na4O: optimized geometry, PBE.

Values from the calculation:
Its formation energy (no corrections) is -0.47 eV per atom.

Cell lengths 13.678, 13.678, 13.678 Å; angles 160.52, 160.52, 27.69 degrees
Atoms (fractional coordinates):
K (0.186, 0.186, 0.000)
K (0.814, 0.814, 0.000)
Na (0.000, 0.500, 0.500)
Na (0.413, 0.413, 0.000)
Na (0.500, 0.000, 0.500)
Na (0.587, 0.587, 0.000)
O (0.500, 0.500, 0.000)

***

V (computed, A^3/atom): 26.8; 24.9; 40.6
Fermi-level density of states (computed, states/eV per atom): 0.520; 2.955; 0.317